Density functional theory data (PBE) for a relaxed structure of Pb2AuO.

Calculated values
Fermi-level density of states: 0.731 states/eV/cell

Cell lengths 3.663, 3.663, 7.852 Å; angles 76.51, 76.51, 60.00 degrees
Element x y z (fractional)
O 0.000 0.000 0.000
Au 0.500 0.500 0.500
Pb 0.264 0.264 0.207
Pb 0.736 0.736 0.793

---

Density functional theory data (PBE) for a relaxed structure of Pb3AuO.

Calculated values
Fermi-level density of states: 4.236 states/eV/cell

Cell lengths 4.986, 4.986, 4.986 Å; angles 90.00, 90.00, 90.00 degrees
Element x y z (fractional)
Au 0.500 0.500 0.500
Pb 0.500 0.000 0.000
Pb 0.000 0.000 0.500
O 0.000 0.000 0.000
Pb 0.000 0.500 0.000

---

Density functional theory data (PBE) for a relaxed structure of PbAuO3.

Calculated values
Fermi-level density of states: 11.594 states/eV/cell

Cell lengths 6.071, 5.884, 10.424 Å; angles 90.00, 90.00, 90.00 degrees
Element x y z (fractional)
O 0.425 0.429 0.471
O 0.575 0.571 0.529
O 0.988 0.482 0.750
Au 0.267 0.745 0.250
Pb 0.500 0.000 0.500
O 0.488 0.018 0.750
Pb 0.000 0.500 0.500
O 0.925 0.071 0.029
O 0.512 0.982 0.250
O 0.012 0.518 0.250
Pb 0.500 0.000 0.000
O 0.925 0.071 0.471
Au 0.767 0.755 0.250
Au 0.233 0.245 0.750
O 0.575 0.571 0.971
O 0.075 0.929 0.529
O 0.075 0.929 0.971
O 0.425 0.429 0.029
Au 0.733 0.255 0.750
Pb 0.000 0.500 0.000

---

Density functional theory data (PBE) for a relaxed structure of PbAu3O.

Calculated values
Fermi-level density of states: 2.900 states/eV/cell

Cell lengths 4.634, 4.634, 4.634 Å; angles 90.00, 90.00, 90.00 degrees
Element x y z (fractional)
Au 0.500 0.000 0.000
Au 0.000 0.000 0.500
Au 0.000 0.500 0.000
O 0.000 0.000 0.000
Pb 0.500 0.500 0.500

---

Density functional theory data (PBE) for a relaxed structure of PbAu2O.

Calculated values
Fermi-level density of states: 3.807 states/eV/cell

Cell lengths 4.721, 4.721, 4.721 Å; angles 60.00, 60.00, 60.00 degrees
Element x y z (fractional)
Au 0.250 0.250 0.250
Pb 0.500 0.500 0.500
O 0.000 0.000 0.000
Au 0.750 0.750 0.750

---

Density functional theory data (PBE) for a relaxed structure of Pb3AuO.

Calculated values
Fermi-level density of states: 2.760 states/eV/cell

Cell lengths 5.510, 5.510, 5.510 Å; angles 90.00, 90.00, 90.00 degrees
Element x y z (fractional)
Pb 0.500 0.000 0.000
Pb 0.000 0.500 0.000
O 0.500 0.500 0.500
Au 0.000 0.000 0.000
Pb 0.000 0.000 0.500

---

Density functional theory data (PBE) for a relaxed structure of PbAuO3.

Calculated values
Fermi-level density of states: 4.969 states/eV/cell

Cell lengths 6.060, 6.388, 9.223 Å; angles 104.53, 90.00, 90.00 degrees
Element x y z (fractional)
O 0.643 0.605 0.832
Pb 0.310 0.723 0.747
O 0.910 0.202 0.009
O 0.590 0.202 0.509
O 0.410 0.798 0.491
Au 0.209 0.109 0.084
O 0.951 0.027 0.326
O 0.049 0.973 0.674
O 0.357 0.395 0.168
Pb 0.190 0.723 0.247
O 0.090 0.798 0.991
Au 0.291 0.109 0.584
O 0.549 0.027 0.826
O 0.857 0.605 0.332
Au 0.709 0.891 0.416
O 0.143 0.395 0.668
Pb 0.690 0.277 0.253
Au 0.791 0.891 0.916
Pb 0.810 0.277 0.753
O 0.451 0.973 0.174

---

Density functional theory data (PBE) for a relaxed structure of Pb2AuO.

Calculated values
Fermi-level density of states: 1.870 states/eV/cell

Cell lengths 6.067, 6.067, 7.343 Å; angles 65.60, 65.60, 90.00 degrees
Element x y z (fractional)
Pb 0.375 0.438 0.750
Pb 0.875 0.812 0.750
O 0.500 0.500 0.000
Au 0.750 0.250 0.500
Au 0.000 0.000 0.000
O 0.250 0.750 0.500
Pb 0.562 0.125 0.250
Pb 0.188 0.625 0.250

---

Density functional theory data (PBE) for a relaxed structure of PbAu2O.

Calculated values
Fermi-level density of states: 1.898 states/eV/cell

Cell lengths 7.587, 7.587, 5.967 Å; angles 50.53, 50.53, 90.00 degrees
Element x y z (fractional)
Au 0.875 0.814 0.750
Pb 0.750 0.250 0.500
Pb 0.000 0.000 0.000
Au 0.375 0.436 0.750
Au 0.186 0.625 0.250
O 0.500 0.500 0.000
Au 0.564 0.125 0.250
O 0.250 0.750 0.500

---

Density functional theory data (PBE) for a relaxed structure of PbAuO3.

Calculated values
Fermi-level density of states: 1.689 states/eV/cell

Cell lengths 4.105, 4.105, 4.105 Å; angles 90.00, 90.00, 90.00 degrees
Element x y z (fractional)
O 0.000 0.000 0.500
Pb 0.500 0.500 0.500
O 0.000 0.500 0.000
Au 0.000 0.000 0.000
O 0.500 0.000 0.000

---

Density functional theory data (PBE) for a relaxed structure of PbAu3O.

Calculated values
Fermi-level density of states: 13.476 states/eV/cell

Cell lengths 5.351, 5.351, 5.351 Å; angles 90.00, 90.00, 90.00 degrees
Element x y z (fractional)
Au 0.500 0.000 0.000
Au 0.000 0.000 0.500
Au 0.000 0.500 0.000
Pb 0.000 0.000 0.000
O 0.500 0.500 0.500

---

Density functional theory data (PBE) for a relaxed structure of Pb4AuO6.

Cell lengths 6.686, 7.367, 11.476 Å; angles 104.50, 64.84, 75.26 degrees
Element x y z (fractional)
Pb 0.287 0.740 0.385
O 0.980 0.709 0.189
Pb 0.163 0.414 0.181
O 0.510 0.042 0.615
Pb 0.406 0.850 0.994
Au 0.916 0.422 0.899
O 0.399 0.617 0.524
O 0.439 0.153 0.983
O 0.944 0.250 0.235
O 0.816 0.698 0.888
Pb 0.271 0.900 0.710
Pb 0.620 0.207 0.784
O 0.962 0.921 0.671
Pb 0.704 0.332 0.470
Pb 0.938 0.599 0.650
O 0.950 0.639 0.420
Pb 0.756 0.097 0.132
O 0.028 0.150 0.914
Au 0.748 0.874 0.400
O 0.451 0.414 0.221
O 0.500 0.729 0.768
O 0.572 0.116 0.374

---

Density functional theory data (PBE) for a relaxed structure of PdPbAuO4.

Calculated values
Fermi-level density of states: 4.848 states/eV/cell

Cell lengths 6.672, 6.711, 6.763 Å; angles 120.25, 90.00, 119.81 degrees
Element x y z (fractional)
O 0.239 0.927 0.714
O 0.747 0.494 0.695
Pb 0.500 0.000 0.000
Au 0.217 0.434 0.967
O 0.688 0.927 0.714
O 0.761 0.073 0.286
O 0.312 0.073 0.286
O 0.253 0.506 0.701
Pd 0.500 0.500 0.500
Au 0.783 0.566 0.033
Pd 0.000 0.500 0.500
Pb 0.500 0.000 0.500
O 0.253 0.506 0.305
O 0.747 0.494 0.299

---

Density functional theory data (PBE) for a relaxed structure of PmPbAuO5.

Calculated values
Fermi-level density of states: 0.151 states/eV/cell

Cell lengths 6.127, 6.127, 8.350 Å; angles 108.31, 108.31, 103.70 degrees
Element x y z (fractional)
O 0.653 0.715 0.846
O 0.329 0.849 0.552
Pm 0.336 0.664 0.250
O 0.946 0.054 0.250
Pm 0.664 0.336 0.750
O 0.671 0.151 0.448
O 0.054 0.946 0.750
Au 0.263 0.737 0.750
O 0.849 0.329 0.052
Au 0.737 0.263 0.250
O 0.715 0.653 0.346
Pb 0.000 0.000 0.500
O 0.347 0.285 0.154
O 0.151 0.671 0.948
O 0.285 0.347 0.654
Pb 0.000 0.000 0.000

---

Density functional theory data (PBE) for a relaxed structure of PmPbAu2O8.

Calculated values
Fermi-level density of states: 3.782 states/eV/cell

Cell lengths 5.564, 5.564, 6.567 Å; angles 115.07, 115.07, 90.00 degrees
Element x y z (fractional)
O 0.651 0.871 0.076
Pb 0.750 0.250 0.500
O 0.350 0.032 0.416
O 0.616 0.650 0.584
Au 0.500 0.500 0.000
O 0.129 0.575 0.924
O 0.066 0.384 0.416
O 0.968 0.934 0.584
Pm 0.000 0.000 0.000
O 0.425 0.205 0.076
Au 0.250 0.750 0.500
O 0.795 0.349 0.924

---

Density functional theory data (PBE) for a relaxed structure of RbPbAuO4.

Cell lengths 6.236, 7.755, 6.611 Å; angles 115.23, 90.00, 113.71 degrees
Element x y z (fractional)
Au 0.000 0.500 0.500
O 0.281 0.008 0.754
Au 0.500 0.500 0.500
O 0.296 0.593 0.736
O 0.719 0.992 0.246
O 0.273 0.992 0.246
Pb 0.500 0.000 0.500
O 0.296 0.593 0.357
Rb 0.158 0.316 0.908
O 0.704 0.407 0.264
O 0.727 0.008 0.754
Rb 0.842 0.684 0.092
O 0.704 0.407 0.643
Pb 0.500 0.000 0.000

---

Density functional theory data (PBE) for a relaxed structure of RePbAuO2.

Calculated values
Fermi-level density of states: 3.104 states/eV/cell

Cell lengths 4.098, 6.052, 4.098 Å; angles 90.00, 90.00, 90.00 degrees
Element x y z (fractional)
O 0.500 0.000 0.000
Pb 0.000 0.000 0.000
Au 0.500 0.500 0.500
O 0.000 0.000 0.500
Re 0.000 0.500 0.000

---

Density functional theory data (PBE) for a relaxed structure of RuPb2AuO.

Calculated values
Fermi-level density of states: 1.785 states/eV/cell

Cell lengths 5.326, 3.773, 5.326 Å; angles 90.00, 90.00, 90.00 degrees
Element x y z (fractional)
Ru 0.000 0.500 0.000
Pb 0.500 0.000 0.000
Au 0.500 0.500 0.500
O 0.000 0.000 0.000
Pb 0.000 0.000 0.500

---

Density functional theory data (PBE) for a relaxed structure of PbAuS2O8.

Calculated values
Fermi-level density of states: 5.406 states/eV/cell

Cell lengths 4.984, 4.984, 8.181 Å; angles 72.26, 72.26, 60.00 degrees
Element x y z (fractional)
O 0.681 0.681 0.956
O 0.047 0.778 0.699
S 0.747 0.747 0.760
O 0.319 0.319 0.044
O 0.523 0.222 0.301
O 0.778 0.477 0.699
O 0.222 0.953 0.301
Au 0.500 0.500 0.500
S 0.253 0.253 0.240
Pb 0.000 0.000 0.000
O 0.953 0.523 0.301
O 0.477 0.047 0.699

---

Density functional theory data (PBE) for a relaxed structure of Sm2PbAuO5.

Calculated values
Fermi-level density of states: 0.860 states/eV/cell

Cell lengths 6.150, 6.703, 6.703 Å; angles 90.00, 90.00, 90.00 degrees
Element x y z (fractional)
O 0.264 0.145 0.645
Sm 0.500 0.328 0.828
Sm 0.500 0.828 0.672
O 0.736 0.855 0.355
Pb 0.000 0.000 0.000
O 0.736 0.355 0.145
Au 0.000 0.000 0.500
O 0.736 0.145 0.645
Au 0.000 0.500 0.000
O 0.500 0.000 0.000
O 0.264 0.645 0.855
O 0.500 0.500 0.500
Pb 0.000 0.500 0.500
O 0.264 0.855 0.355
Sm 0.500 0.672 0.172
Sm 0.500 0.172 0.328
O 0.736 0.645 0.855
O 0.264 0.355 0.145

---

Record-wise ΔE_f (raw) values, in kJ/mol of formula units: -159, -106, -132, 130, 140, 312, -215, -140, 13, -89, 628, -838, -257, -913, -729, -462, 485, -21, -1169, -1699